[1]
# PBE CsRb2Hg3, relaxed
data_CsRb2Hg3
_chemical_formula_sum 'Cs4 Rb8 Hg12'
_space_group_name_H-M_alt 'C m c m'
_space_group_IT_number 63
_space_group_name_Hall '-C 2c 2'
_cell_length_a 19.2980
_cell_length_b 10.4309
_cell_length_c 6.1247
_cell_angle_alpha 90.00
_cell_angle_beta 90.00
_cell_angle_gamma 90.00
loop_
_atom_site_label
_atom_site_fract_x
_atom_site_fract_y
_atom_site_fract_z
Cs1 0.0000 0.1788 0.2500
Rb1 0.1763 0.3333 0.7500
Hg1 0.0000 0.4619 0.7500
Hg2 0.1663 0.0000 0.0000
# spin magnetization	0.000	Bohr magnetons per cell
# calculated formation energy	-0.202	eV per atom

[2]
# PBE PIrPt, relaxed
data_PIrPt
_chemical_formula_sum 'P4 Ir4 Pt4'
_space_group_name_H-M_alt 'F m m 2'
_space_group_IT_number 42
_space_group_name_Hall 'F 2 -2'
_cell_length_a 2.7850
_cell_length_b 4.8903
_cell_length_c 13.1445
_cell_angle_alpha 90.00
_cell_angle_beta 90.00
_cell_angle_gamma 90.00
loop_
_atom_site_label
_atom_site_fract_x
_atom_site_fract_y
_atom_site_fract_z
P1 0.0000 0.0000 0.0000
Ir1 0.0000 0.0000 0.6470
Pt1 0.0000 0.0000 0.3341
# spin magnetization	0.000	Bohr magnetons per cell
# calculated formation energy	0.201	eV per atom
# relative energy among the computed polymorphs	54.70	kJ/mol of atoms

[3]
# PBE LaCoRh2, relaxed
data_LaCoRh2
_chemical_formula_sum 'La3 Co3 Rh6'
_space_group_name_H-M_alt 'R -3 m'
_space_group_IT_number 166
_space_group_name_Hall '-R 3 2"'
_cell_length_a 4.3490
_cell_length_b 4.3490
_cell_length_c 14.6889
_cell_angle_alpha 90.00
_cell_angle_beta 90.00
_cell_angle_gamma 120.00
loop_
_atom_site_label
_atom_site_fract_x
_atom_site_fract_y
_atom_site_fract_z
La1 0.0000 0.0000 0.0000
Co1 0.0000 0.0000 0.5000
Rh1 0.0000 0.0000 0.1935
# spin magnetization	5.721	Bohr magnetons per cell
# calculated formation energy	-0.255	eV per atom
# relative energy among the computed polymorphs	0.00	kJ/mol of atoms

[4]
# PBE Tl4Ir2Au, relaxed
data_Tl4Ir2Au
_chemical_formula_sum 'Tl8 Ir4 Au2'
_space_group_name_H-M_alt 'I 4/m m m'
_space_group_IT_number 139
_space_group_name_Hall '-I 4 2'
_cell_length_a 5.3987
_cell_length_b 5.3987
_cell_length_c 13.4105
_cell_angle_alpha 90.00
_cell_angle_beta 90.00
_cell_angle_gamma 90.00
loop_
_atom_site_label
_atom_site_fract_x
_atom_site_fract_y
_atom_site_fract_z
Tl1 0.0000 0.0000 0.2110
Tl2 0.0000 0.5000 0.0000
Ir1 0.0000 0.0000 0.4077
Au1 0.0000 0.0000 0.0000
# spin magnetization	0.000	Bohr magnetons per cell
# calculated formation energy	0.636	eV per atom

[5]
# PBE Nb2CuO, relaxed
data_Nb2CuO
_chemical_formula_sum 'Nb8 Cu4 O4'
_space_group_name_H-M_alt 'I -4 2 d'
_space_group_IT_number 122
_space_group_name_Hall 'I -4 2bw'
_cell_length_a 4.8785
_cell_length_b 4.8785
_cell_length_c 11.5281
_cell_angle_alpha 90.00
_cell_angle_beta 90.00
_cell_angle_gamma 90.00
loop_
_atom_site_label
_atom_site_fract_x
_atom_site_fract_y
_atom_site_fract_z
Nb1 0.1601 0.2500 0.1250
Cu1 0.0000 0.0000 0.5000
O1 0.0000 0.0000 0.0000
# spin magnetization	0.000	Bohr magnetons per cell
# relative energy among the computed polymorphs	0.00	kJ/mol of atoms
# raw formation energy	-0.26	eV/atom

[6]
# PBE KInTe3Pb, relaxed
data_KInTe3Pb
_chemical_formula_sum 'K2 In2 Te6 Pb2'
_space_group_name_H-M_alt 'P 1 21/m 1'
_space_group_IT_number 11
_space_group_name_Hall '-P 2yb'
_cell_length_a 9.7029
_cell_length_b 4.6867
_cell_length_c 11.3360
_cell_angle_alpha 90.00
_cell_angle_beta 107.53
_cell_angle_gamma 90.00
loop_
_atom_site_label
_atom_site_fract_x
_atom_site_fract_y
_atom_site_fract_z
K1 0.2287 0.2500 0.2123
In1 0.0859 0.2500 0.6361
Te1 0.0652 0.2500 0.8718
Te2 0.2045 0.7500 0.5463
Te3 0.4803 0.7500 0.1743
Pb1 0.3318 0.7500 0.8948
# spin magnetization	0.000	Bohr magnetons per cell
# raw formation energy	-0.54	eV/atom

[7]
# PBE ZnSn2Pb, relaxed
data_ZnSn2Pb
_chemical_formula_sum 'Zn3 Sn6 Pb3'
_space_group_name_H-M_alt 'R -3 m'
_space_group_IT_number 166
_space_group_name_Hall '-R 3 2"'
_cell_length_a 4.2188
_cell_length_b 4.2188
_cell_length_c 21.1641
_cell_angle_alpha 90.00
_cell_angle_beta 90.00
_cell_angle_gamma 120.00
loop_
_atom_site_label
_atom_site_fract_x
_atom_site_fract_y
_atom_site_fract_z
Zn1 0.0000 0.0000 0.0000
Sn1 0.0000 0.0000 0.2694
Pb1 0.0000 0.0000 0.5000
# spin magnetization	0.000	Bohr magnetons per cell
# calculated formation energy	0.121	eV per atom
# relative energy among the computed polymorphs	2.02	kJ/mol of atoms

[8]
# PBE PaGeH2, relaxed
data_PaGeH2
_chemical_formula_sum 'Pa3 Ge3 H6'
_space_group_name_H-M_alt 'R -3 m'
_space_group_IT_number 166
_space_group_name_Hall '-R 3 2"'
_cell_length_a 3.9758
_cell_length_b 3.9758
_cell_length_c 11.2890
_cell_angle_alpha 90.00
_cell_angle_beta 90.00
_cell_angle_gamma 120.00
loop_
_atom_site_label
_atom_site_fract_x
_atom_site_fract_y
_atom_site_fract_z
Pa1 0.0000 0.0000 0.0000
Ge1 0.0000 0.0000 0.5000
H1 0.0000 0.0000 0.3096
# spin magnetization	0.000	Bohr magnetons per cell
# relative energy among the computed polymorphs	3.38	kJ/mol of atoms

Please write out number 5 again, unchanged.
# PBE Nb2CuO, relaxed
data_Nb2CuO
_chemical_formula_sum 'Nb8 Cu4 O4'
_space_group_name_H-M_alt 'I -4 2 d'
_space_group_IT_number 122
_space_group_name_Hall 'I -4 2bw'
_cell_length_a 4.8785
_cell_length_b 4.8785
_cell_length_c 11.5281
_cell_angle_alpha 90.00
_cell_angle_beta 90.00
_cell_angle_gamma 90.00
loop_
_atom_site_label
_atom_site_fract_x
_atom_site_fract_y
_atom_site_fract_z
Nb1 0.1601 0.2500 0.1250
Cu1 0.0000 0.0000 0.5000
O1 0.0000 0.0000 0.0000
# spin magnetization	0.000	Bohr magnetons per cell
# relative energy among the computed polymorphs	0.00	kJ/mol of atoms
# raw formation energy	-0.26	eV/atom

- Among the records above, which one has the highest spin magnetization?
  LaCoRh2

- Among the records above, which one has the highest spin magnetization?
  LaCoRh2